(1)
The following is a PBE calculation of K3TbSi3O9 after structural relaxation, from the Open Quantum Materials Database.

Electronic total energy: -0.2578 hartree per atom
Spin magnetization: 0.0 μB per formula unit
Space group: Pmn2_1 (31)

abc: 13.770 5.789 12.667
angles: 90.00 90.00 90.00
Fractional positions:
K 0.500 0.302 0.100
K 0.000 0.326 0.146
K 0.300 0.840 0.169
K 0.700 0.840 0.169
K 0.000 0.700 0.346
K 0.500 0.689 0.383
K 0.000 0.698 0.600
K 0.500 0.674 0.646
K 0.200 0.160 0.669
K 0.800 0.160 0.669
K 0.500 0.300 0.846
K 0.000 0.311 0.883
O 0.127 0.094 0.035
O 0.873 0.094 0.035
O 0.170 0.635 0.055
O 0.830 0.635 0.055
O 0.323 0.313 0.169
O 0.677 0.313 0.169
O 0.177 0.228 0.299
O 0.823 0.228 0.299
O 0.298 0.590 0.340
O 0.702 0.590 0.340
O 0.000 0.178 0.350
O 0.359 0.154 0.362
O 0.641 0.154 0.362
O 0.132 0.954 0.466
O 0.868 0.954 0.466
O 0.116 0.423 0.479
O 0.884 0.423 0.479
O 0.500 0.252 0.493
O 0.373 0.906 0.535
O 0.627 0.906 0.535
O 0.330 0.365 0.555
O 0.670 0.365 0.555
O 0.177 0.687 0.669
O 0.823 0.687 0.669
O 0.323 0.772 0.799
O 0.677 0.772 0.799
O 0.202 0.410 0.840
O 0.798 0.410 0.840
O 0.500 0.822 0.850
O 0.141 0.846 0.862
O 0.859 0.846 0.862
O 0.368 0.046 0.966
O 0.632 0.046 0.966
O 0.384 0.577 0.979
O 0.616 0.577 0.979
O 0.000 0.748 0.993
Si 0.290 0.333 0.291
Si 0.710 0.333 0.291
Si 0.110 0.195 0.407
Si 0.890 0.195 0.407
Si 0.386 0.166 0.491
Si 0.614 0.166 0.491
Si 0.210 0.667 0.791
Si 0.790 0.667 0.791
Si 0.390 0.805 0.907
Si 0.610 0.805 0.907
Si 0.114 0.834 0.991
Si 0.886 0.834 0.991
Tb 0.257 0.327 0.005
Tb 0.743 0.327 0.005
Tb 0.243 0.673 0.505
Tb 0.757 0.673 0.505

(2)
The following is a PBE calculation of LuCuTcPb after structural relaxation, from the Open Quantum Materials Database.

Excess energy over the best structure of this formula in the dataset: 0.0000 eV per atom
Electronic total energy: -0.1982 hartree per atom
Spin magnetization: 0.0 μB per formula unit
Space group: F-43m (216)

abc: 4.727 4.727 4.727
angles: 60.00 60.00 60.00
Fractional positions:
Cu 0.750 0.750 0.750
Lu 0.500 0.500 0.500
Pb 0.000 0.000 0.000
Tc 0.250 0.250 0.250

(3)
The following is a PBE calculation of LiNbSnOs after structural relaxation, from the Open Quantum Materials Database.

Excess energy over the best structure of this formula in the dataset: 0.6292 eV per atom
Electronic total energy: -0.2384 hartree per atom
Spin magnetization: 0.6 μB per formula unit
Space group: F-43m (216)

abc: 4.517 4.517 4.517
angles: 60.00 60.00 60.00
Fractional positions:
Li 0.750 0.750 0.750
Nb 0.500 0.500 0.500
Os 0.000 0.000 0.000
Sn 0.250 0.250 0.250

- Look up the spin magnetization of the second one.
  0.0 μB per formula unit

- spin magnetization of number 3 (LiNbSnOs)?
  0.6 μB per formula unit

Repeat the first record exactly.
The following is a PBE calculation of K3TbSi3O9 after structural relaxation, from the Open Quantum Materials Database.

Electronic total energy: -0.2578 hartree per atom
Spin magnetization: 0.0 μB per formula unit
Space group: Pmn2_1 (31)

abc: 13.770 5.789 12.667
angles: 90.00 90.00 90.00
Fractional positions:
K 0.500 0.302 0.100
K 0.000 0.326 0.146
K 0.300 0.840 0.169
K 0.700 0.840 0.169
K 0.000 0.700 0.346
K 0.500 0.689 0.383
K 0.000 0.698 0.600
K 0.500 0.674 0.646
K 0.200 0.160 0.669
K 0.800 0.160 0.669
K 0.500 0.300 0.846
K 0.000 0.311 0.883
O 0.127 0.094 0.035
O 0.873 0.094 0.035
O 0.170 0.635 0.055
O 0.830 0.635 0.055
O 0.323 0.313 0.169
O 0.677 0.313 0.169
O 0.177 0.228 0.299
O 0.823 0.228 0.299
O 0.298 0.590 0.340
O 0.702 0.590 0.340
O 0.000 0.178 0.350
O 0.359 0.154 0.362
O 0.641 0.154 0.362
O 0.132 0.954 0.466
O 0.868 0.954 0.466
O 0.116 0.423 0.479
O 0.884 0.423 0.479
O 0.500 0.252 0.493
O 0.373 0.906 0.535
O 0.627 0.906 0.535
O 0.330 0.365 0.555
O 0.670 0.365 0.555
O 0.177 0.687 0.669
O 0.823 0.687 0.669
O 0.323 0.772 0.799
O 0.677 0.772 0.799
O 0.202 0.410 0.840
O 0.798 0.410 0.840
O 0.500 0.822 0.850
O 0.141 0.846 0.862
O 0.859 0.846 0.862
O 0.368 0.046 0.966
O 0.632 0.046 0.966
O 0.384 0.577 0.979
O 0.616 0.577 0.979
O 0.000 0.748 0.993
Si 0.290 0.333 0.291
Si 0.710 0.333 0.291
Si 0.110 0.195 0.407
Si 0.890 0.195 0.407
Si 0.386 0.166 0.491
Si 0.614 0.166 0.491
Si 0.210 0.667 0.791
Si 0.790 0.667 0.791
Si 0.390 0.805 0.907
Si 0.610 0.805 0.907
Si 0.114 0.834 0.991
Si 0.886 0.834 0.991
Tb 0.257 0.327 0.005
Tb 0.743 0.327 0.005
Tb 0.243 0.673 0.505
Tb 0.757 0.673 0.505